No. 1
{"formula": "NaZnSbPt", "functional": "PBE", "state": "optimized geometry", "lattice_angstrom": [[0.0000, 3.3494, 3.3494], [3.3494, 0.0000, 3.3494], [3.3494, 3.3494, 0.0000]], "species": ["Na", "Zn", "Sb", "Pt"], "fractional_positions": [[0.0000, 0.0000, 0.0000], [0.5000, 0.5000, 0.5000], [0.2500, 0.2500, 0.2500], [0.7500, 0.7500, 0.7500]], "total_energy_ev_per_atom": -3.23, "space_group": "No. 216"}


No. 2
{"formula": "Sc2ZnTc", "functional": "PBE", "state": "optimized geometry", "lattice_angstrom": [[-3.2039, 3.4457, 3.1920], [3.2039, -3.4457, 3.1920], [3.2039, 3.4457, -3.1920]], "species": ["Sc", "Sc", "Sc", "Sc", "Zn", "Zn", "Tc", "Tc"], "fractional_positions": [[0.2507, 0.0000, 0.7507], [0.2507, 0.5000, 0.2507], [0.7493, 0.0000, 0.2493], [0.7493, 0.5000, 0.7493], [0.2490, 0.4990, 0.7500], [0.7510, 0.5010, 0.2500], [0.2493, 0.9993, 0.2500], [0.7507, 0.0007, 0.7500]], "formation_energy_ev_per_atom": -0.271, "space_group": "No. 74"}


No. 3
{"formula": "Ho2TmIn3Ni2Ag", "functional": "PBE", "state": "optimized geometry", "lattice_angstrom": [[3.8492, 0.0000, 0.0000], [0.0000, 6.5256, 3.7702], [0.0000, -6.5256, 3.7702]], "species": ["Ho", "Ho", "Tm", "In", "In", "In", "Ni", "Ni", "Ag"], "fractional_positions": [[0.0000, 0.2056, 0.7944], [0.0000, 0.7944, 0.2056], [0.0000, 0.3825, 0.3825], [0.5000, 0.0669, 0.0669], [0.5000, 0.5212, 0.7932], [0.5000, 0.7932, 0.5212], [0.5000, 0.1283, 0.4601], [0.5000, 0.4601, 0.1283], [0.0000, 0.7932, 0.7932]], "total_energy_ev_per_atom": -4.44, "space_group": "No. 38"}


No. 4
{"formula": "Sm2C2ICl", "functional": "PBE", "state": "optimized geometry", "lattice_angstrom": [[3.6373, -1.9611, 0.0000], [3.6373, 1.9611, 0.0000], [-0.8704, 0.0000, 10.4120]], "species": ["Sm", "Sm", "C", "C", "I", "Cl"], "fractional_positions": [[0.0000, 0.0000, 0.0000], [0.7065, 0.7065, 0.7164], [0.2800, 0.2800, 0.8918], [0.4271, 0.4271, 0.8242], [0.6860, 0.6860, 0.2079], [0.0347, 0.0347, 0.5533]], "total_energy_ev_per_atom": -6.24, "space_group": "No. 8"}